Record 1
AlMoPt2 | GGA-PBE | optimized geometry

abc: 2.8065 2.8065 7.6226
angles: 90.00 90.00 90.00
Space group P4/mmm (No. 123)
Asymmetric unit:
Al 0.0000 0.0000 0.0000 (multiplicity 1)
Mo 0.0000 0.0000 0.5000 (multiplicity 1)
Pt 0.5000 0.5000 0.2337 (multiplicity 2)

Calculated values
energy	-29.064	eV per cell
formation energy from the elements	-602	meV per atom
DOS(E_F)	4.0	states/eV/f.u.

---

Record 2
ScBe2Co2 | GGA-PBE | optimized geometry

abc: 3.6519 3.6519 8.9642
angles: 90.00 90.00 90.00
Space group I4/mmm (No. 139)
Asymmetric unit:
Sc 0.0000 0.0000 0.0000 (multiplicity 2)
Be 0.0000 0.5000 0.2500 (multiplicity 4)
Co 0.0000 0.0000 0.3754 (multiplicity 4)

Calculated values
energy above the most stable polymorph in this dataset	0.42	eV/f.u.
energy	-57.626	eV per cell
formation energy from the elements	-163	meV per atom
DOS(E_F)	4.1	states/eV/f.u.

---

Record 3
ZnCdPb3 | GGA-PBE | optimized geometry

abc: 5.6825 5.6825 5.6825
angles: 90.00 90.00 90.00
Space group Pm-3m (No. 221)
Asymmetric unit:
Zn 0.0000 0.0000 0.0000 (multiplicity 1)
Cd 0.5000 0.5000 0.5000 (multiplicity 1)
Pb 0.0000 0.5000 0.5000 (multiplicity 3)

Calculated values
energy above the most stable polymorph in this dataset	1.30	eV/f.u.
energy	-10.379	eV per cell
formation energy from the elements	587	meV per atom
DOS(E_F)	1.5	states/eV/f.u.

---

Record 4
Li3HoPd2 | GGA-PBE | optimized geometry

abc: 13.6469 4.1256 8.4393
angles: 90.00 119.19 90.00
Space group C2/m (No. 12)
Asymmetric unit:
Li 0.0599 0.0000 0.3961 (multiplicity 4)
Li 0.0819 0.5000 0.6926 (multiplicity 4)
Li 0.2219 0.5000 0.5538 (multiplicity 4)
Ho 0.1346 0.0000 0.0192 (multiplicity 4)
Pd 0.0644 0.5000 0.1895 (multiplicity 4)
Pd 0.2098 0.0000 0.7485 (multiplicity 4)

Calculated values
energy	-94.803	eV per cell
formation energy from the elements	-499	meV per atom
DOS(E_F)	2.4	states/eV/f.u.

---

Record 5
CaSeN2Cl | GGA-PBE | optimized geometry

abc: 4.1904 4.1904 5.0920
angles: 90.00 90.00 90.00
Space group P4/mmm (No. 123)
Asymmetric unit:
Ca 0.0000 0.0000 0.0000 (multiplicity 1)
Se 0.5000 0.5000 0.0000 (multiplicity 1)
N 0.0000 0.5000 0.5000 (multiplicity 2)
Cl 0.5000 0.5000 0.5000 (multiplicity 1)

Calculated values
energy above the most stable polymorph in this dataset	0.00	eV/f.u.
energy	-17.707	eV per cell
DOS(E_F)	2.5	states/eV/f.u.
E_form (uncorrected)	121.1	kJ/mol of atoms

---

Record 6
Tm4CdIr | GGA-PBE | optimized geometry

abc: 4.8134 4.8134 7.3108
angles: 90.00 90.00 90.00
Space group P4/mmm (No. 123)
Asymmetric unit:
Tm 0.0000 0.5000 0.2214 (multiplicity 4)
Cd 0.0000 0.0000 0.5000 (multiplicity 1)
Ir 0.5000 0.5000 0.0000 (multiplicity 1)

Calculated values
energy above the most stable polymorph in this dataset	1.25	eV/f.u.
energy	-29.675	eV per cell
formation energy from the elements	-336	meV per atom
DOS(E_F)	7.3	states/eV/f.u.

---

Record 7
Sr2LiAsH | GGA-PBE | optimized geometry

abc: 5.1077 5.1077 4.2388
angles: 90.00 90.00 90.00
Space group P4/mmm (No. 123)
Asymmetric unit:
Sr 0.0000 0.5000 0.0000 (multiplicity 2)
Li 0.0000 0.0000 0.5000 (multiplicity 1)
As 0.5000 0.5000 0.5000 (multiplicity 1)
H 0.0000 0.0000 0.0000 (multiplicity 1)

Calculated values
energy	-16.303	eV per cell
DOS(E_F)	1.4	states/eV/f.u.

---

Record 8
SrO | GGA-PBE | optimized geometry

abc: 4.0775 12.5353 5.6989
angles: 90.00 90.00 90.00
Space group Pmmn (No. 59, origin choice 2)
Asymmetric unit:
Sr 0.2500 0.0973 0.1290 (multiplicity 4)
Sr 0.2500 0.7500 0.3653 (multiplicity 2)
O 0.2500 0.2500 0.4002 (multiplicity 2)
O 0.2500 0.5984 0.1012 (multiplicity 4)

Calculated values
energy	-70.138	eV per cell
DOS(E_F)	0.0	states/eV/f.u.
E_form (uncorrected)	-243.6	kJ/mol of atoms

---

Record 9
La2TeBr | GGA-PBE | optimized geometry

abc: 7.0258 7.0258 14.1854
angles: 90.00 90.00 90.00
Space group I-42d (No. 122)
Asymmetric unit:
La 0.2398 0.2500 0.1250 (multiplicity 8)
Te 0.0000 0.0000 0.5000 (multiplicity 4)
Br 0.0000 0.0000 0.0000 (multiplicity 4)

Calculated values
energy above the most stable polymorph in this dataset	2.02	eV/f.u.
energy	-73.374	eV per cell
DOS(E_F)	5.0	states/eV/f.u.
E_form (uncorrected)	-88.6	kJ/mol of atoms

---

Record 10
SmHoTh2 | GGA-PBE | optimized geometry

abc: 5.0518 5.0722 10.1266
angles: 90.00 90.11 90.00
Space group P2_1/m (No. 11)
Asymmetric unit:
Sm 0.0008 0.2500 0.3694 (multiplicity 2)
Ho 0.4994 0.2500 0.6306 (multiplicity 2)
Th 0.9997 0.2500 0.8775 (multiplicity 2)
Th 0.4999 0.2500 0.1210 (multiplicity 2)

Calculated values
energy above the most stable polymorph in this dataset	0.00	eV/f.u.
energy	-48.032	eV per cell
formation energy from the elements	30	meV per atom
DOS(E_F)	6.8	states/eV/f.u.

---

Record 11
LaNiPt | GGA-PBE | optimized geometry

abc: 3.5727 3.5727 9.5013
angles: 90.00 90.00 90.00
Space group I4mm (No. 107)
Asymmetric unit:
La 0.0000 0.0000 0.0000 (multiplicity 2)
Ni 0.0000 0.0000 0.7172 (multiplicity 2)
Pt 0.0000 0.0000 0.3029 (multiplicity 2)

Calculated values
energy	-36.129	eV per cell
formation energy from the elements	-438	meV per atom
DOS(E_F)	3.3	states/eV/f.u.

---

Record 12
SrPaRu2O8 | GGA-PBE | optimized geometry

abc: 5.8450 5.8450 7.1710
angles: 90.00 90.00 120.00
Space group P-3m1 (No. 164)
Asymmetric unit:
Sr 0.0000 0.0000 0.0000 (multiplicity 1)
Pa 0.0000 0.0000 0.5000 (multiplicity 1)
Ru 0.3333 0.6667 0.8044 (multiplicity 2)
O 0.1619 0.3237 0.6995 (multiplicity 6)
O 0.3333 0.6667 0.0494 (multiplicity 2)

Calculated values
energy	-90.652	eV per cell
DOS(E_F)	9.0	states/eV/f.u.
E_form (uncorrected)	-170.9	kJ/mol of atoms